[1]
Material: PmPrHo2
Method: DFT, GGA-PBE
State: relaxed

Geometry as POSCAR:
```
PmPrHo2
1.0
3.6119 0.0000 0.0000
0.0000 3.6119 0.0000
0.0000 0.0000 10.1413
Pr Ho Pm
1 2 1
Cartesian
1.8059 1.8059 5.0706 Pr
0.0000 0.0000 7.6293 Ho
0.0000 0.0000 2.5120 Ho
1.8059 1.8059 0.0000 Pm
```

E, eV/cell: -18.60
Formation energy, eV/f.u.: 0.09
Spin magnetization, μB/cell: 0.00
Energy above the lowest structure with this stoichiometry, meV per atom: 7.5



[2]
Material: Pm4PrHo6
Method: DFT, GGA-PBE
State: relaxed

Geometry as POSCAR:
```
Pm4PrHo6
1.0
-6.2047 4.2446 -6.1614
0.3748 -3.1300 9.1946
7.3411 2.3194 5.9335
Pm Pr Ho
4 1 6
Cartesian
-5.8618 2.2917 -0.2423 Pm
0.4635 1.3158 3.1889 Pm
4.6635 1.4270 3.8966 Pm
3.7573 1.8336 11.0902 Pm
0.0000 0.0000 0.0000 Pr
3.5872 -1.4781 10.0476 Ho
-0.1353 4.7082 2.7242 Ho
2.0514 1.0647 6.1614 Ho
-2.9150 0.5573 1.5166 Ho
-2.4809 2.5733 -0.9996 Ho
0.5682 3.2820 -0.1140 Ho
```

E, eV/cell: -47.81
Formation energy, eV/f.u.: 3.44
Spin magnetization, μB/cell: 0.00
Energy above the lowest structure with this stoichiometry, meV per atom: 159.8



[3]
Material: PmPr4Ho6
Method: DFT, GGA-PBE
State: relaxed

Geometry as POSCAR:
```
PmPr4Ho6
1.0
3.9916 7.4209 -4.8489
-4.4756 -8.4448 -1.7800
-8.3601 -2.3294 4.3814
Pm Pr Ho
1 4 6
Cartesian
0.0000 0.0000 0.0000 Pm
-2.9603 -5.3825 -1.0609 Pr
-3.1836 -1.1179 -0.8976 Pr
-5.3613 -1.6025 2.7475 Pr
-10.1747 -6.0246 -0.4350 Pr
-7.3010 -7.7896 0.5275 Ho
-8.6775 -5.6226 2.7109 Ho
-5.7063 -3.3475 -0.2751 Ho
-0.2420 -0.5120 -3.3145 Ho
0.0049 2.6321 -2.6094 Ho
-2.1842 2.5457 -0.2338 Ho
```

E, eV/cell: -48.03
Formation energy, eV/f.u.: 3.31
Spin magnetization, μB/cell: 0.00
Energy above the lowest structure with this stoichiometry, meV per atom: 0.0